## Tb4In2Bi (GGA-PBE)

Data for crystalline Tb4In2Bi at its relaxed geometry.

The structure in POSCAR format:
```
Tb4In2Bi
1.0
5.8158 0.0000 -0.3476
0.0000 6.6010 0.0000
-2.5328 0.0000 10.7575
Tb In Bi
8 4 2
Direct
0.6266 0.5075 0.2659
0.9450 0.7500 0.8614
0.0550 0.2500 0.1386
0.6266 0.9925 0.2659
0.7763 0.2500 0.5548
0.3734 0.0075 0.7341
0.3734 0.4925 0.7341
0.2237 0.7500 0.4452
0.5132 0.7500 0.9965
0.4868 0.2500 0.0035
0.2136 0.2500 0.4386
0.7864 0.7500 0.5614
0.0765 0.7500 0.1597
0.9235 0.2500 0.8403
```

Energy of formation, eV per atom: -0.4105
Crystal system: monoclinic
Final energy, eV per atom: -4.393
Total magnetization, μB/atom: 0.00